This record from the Alexandria database describes a relaxed CoMo2Pd crystal. The functional is PBE.

abc: 2.702 2.702 28.622
angles: 90.00 90.00 120.00
Fractional positions:
Co  0.000  0.000  0.000
Co  0.333  0.667  0.667
Co  0.667  0.333  0.333
Mo  0.000  0.000  0.407
Mo  0.000  0.000  0.593
Mo  0.333  0.667  0.074
Mo  0.333  0.667  0.260
Mo  0.667  0.333  0.740
Mo  0.667  0.333  0.926
Pd  0.000  0.000  0.500
Pd  0.333  0.667  0.167
Pd  0.667  0.333  0.833

Calculated values
DOS at the Fermi energy = 5.27 states/eV/f.u.
symmetry = No. 166
excess energy over the best structure of this formula in the dataset = 0.0000 eV/atom
ρ = 9.83 Mg/m³
energy relative to the elements = 0.41 eV/atom
crystal system = trigonal